DFT (GGA-PBE) results for a relaxed structure of InGePd6.

Cell lengths 4.7524, 4.7524, 7.2760 Å; angles 108.73, 108.73, 71.69 degrees
Closest atoms and distances in Å follow each position.
Fractional positions:
In (0.0000, 0.0000, 0.0000)  10 Pd 2.75-3.00
Ge (0.5000, 0.5000, 0.5000)  6 Pd 2.47
Pd (0.0666, 0.5794, 0.2091)  1 Ge 2.47, 1 Pd 2.71, 1 In 2.75
Pd (0.1635, 0.1635, 0.4489)  1 Ge 2.47
Pd (0.4206, 0.9334, 0.7909)  1 Ge 2.47, 1 Pd 2.71, 1 In 2.75
Pd (0.5794, 0.0666, 0.2091)  1 Ge 2.47, 1 Pd 2.71, 1 In 2.75
Pd (0.8365, 0.8365, 0.5511)  1 Ge 2.47
Pd (0.9334, 0.4206, 0.7909)  1 Ge 2.47, 1 Pd 2.71, 1 In 2.75

Output
Formation energy (meV per atom): -238.7
Energy above the most stable polymorph in this dataset (meV/atom): 165
Crystal system: monoclinic
Total energy (eV/atom): -5.053
Total magnetic moment (μB per formula unit): 0.00
Mass density (g/cm3): 9.6